No. 1
Pr3AlGe | PBE | relaxed

Cell: 4.2403 8.1460 8.7534 Å, 86.83 89.93 75.04°
Last column: nearest neighbours and their distance in Å.
Space group P-1 (No. 2)
Unique sites:
Pr (0.0473, 0.4044, 0.1719)  4 Ge 3.15-3.33, 1 Pr 3.29, 1 Al 3.32
Pr (0.2364, 0.0262, 0.8225)  3 Ge 3.13-3.15, 3 Al 3.24-3.40
Pr (0.4063, 0.6837, 0.4166)  1 Ge 3.06, 3 Al 3.14-3.15, 1 Pr 3.16
Al (0.2096, 0.0822, 0.4345)  2 Al 2.70-2.71
Ge (0.3919, 0.7153, 0.0664)  8 Pr 3.06-3.33

Results
- magnetic moment (μB/f.u.) = 0.0
- ΔE_f (eV/atom) = -0.44

***

No. 2
Pr4AlGe2 | PBE | relaxed

Cell: 4.9910 4.9910 29.3655 Å, 90.00 90.00 120.00°
Last column: nearest neighbours and their distance in Å.
Space group R-3m (No. 166, hexagonal axes)
Unique sites:
Pr (0.0000, 0.0000, 0.1208)  3 Al 3.18, 3 Ge 3.23
Pr (0.0000, 0.0000, 0.2941)  4 Ge 3.03-3.24
Al (0.0000, 0.0000, 0.5000)  2 Ge 2.81
Ge (0.0000, 0.0000, 0.4043)  1 Al 2.81, 3 Pr 3.03

Results
- magnetic moment (μB/f.u.) = 0.0
- ΔE_f (eV/atom) = -0.46

***

No. 3
Pr2AlGe | PBE | relaxed

Cell: 3.5727 3.5727 32.3928 Å, 90.00 90.00 120.00°
Last column: nearest neighbours and their distance in Å.
Space group R-3m (No. 166, hexagonal axes)
Unique sites:
Pr (0.0000, 0.0000, 0.0934)  1 Ge 3.02, 3 Al 3.15
Al (0.0000, 0.0000, 0.5000)  6 Pr 3.15
Ge (0.0000, 0.0000, 0.0000)  2 Pr 3.02

Results
- magnetic moment (μB/f.u.) = 0.0
- ΔE_f (eV/atom) = 0.10